DFT (PBE with a Hubbard U) results for an optimized crystal structure of Li3Mo2P3O12.

Summary:
Energy = -279.5 eV for the cell shown
Distance to the lowest polymorph of the same formula = 0.000 eV per atom

Lattice parameters (Å, degrees): 9.2754 9.2754 9.2754 55.51 55.51 55.51
Each line ends with the local moment (μB).
Positions (direct):
P (0.0413, 0.7508, 0.4532)  0.01
P (0.2492, 0.5468, 0.9587)  0.01
P (0.9587, 0.2492, 0.5468)  0.01
P (0.4532, 0.0413, 0.7508)  0.01
P (0.5468, 0.9587, 0.2492)  0.01
P (0.7508, 0.4532, 0.0413)  0.01
O (0.8530, 0.1359, 0.7476)  0.00
O (0.2072, 0.5561, 0.1459)  0.01
O (0.4019, 0.0044, 0.1872)  0.01
O (0.5981, 0.9956, 0.8128)  0.01
O (0.8128, 0.5981, 0.9956)  0.01
O (0.1570, 0.5370, 0.4985)  0.01
O (0.4439, 0.8541, 0.7928)  0.01
O (0.8541, 0.7928, 0.4439)  0.01
O (0.4630, 0.5015, 0.8430)  0.01
O (0.7928, 0.4439, 0.8541)  0.01
O (0.1459, 0.2072, 0.5561)  0.01
O (0.5015, 0.8430, 0.4630)  0.01
O (0.1872, 0.4019, 0.0044)  0.01
O (0.5561, 0.1459, 0.2072)  0.01
O (0.1470, 0.8641, 0.2524)  0.00
O (0.8430, 0.4630, 0.5015)  0.01
O (0.1359, 0.7476, 0.8530)  0.00
O (0.0044, 0.1872, 0.4019)  0.01
O (0.5370, 0.4985, 0.1570)  0.01
O (0.7476, 0.8530, 0.1359)  0.00
O (0.8641, 0.2524, 0.1470)  0.00
O (0.2524, 0.1470, 0.8641)  0.00
O (0.4985, 0.1570, 0.5370)  0.01
O (0.9956, 0.8128, 0.5981)  0.01
Mo (0.8547, 0.8547, 0.8547)  2.75
Mo (0.3478, 0.3478, 0.3478)  2.76
Mo (0.6522, 0.6522, 0.6522)  2.76
Mo (0.1453, 0.1453, 0.1453)  2.75
Li (0.7337, 0.0733, 0.3349)  0.00
Li (0.9267, 0.6651, 0.2663)  0.00
Li (0.6651, 0.2663, 0.9267)  0.00
Li (0.2663, 0.9267, 0.6651)  0.00
Li (0.3349, 0.7337, 0.0733)  0.00
Li (0.0733, 0.3349, 0.7337)  0.00